VASP calculation (PBE-GGA) on a relaxed La2Pb2O crystal.

Structure (CIF):
```
data_La2Pb2O
_symmetry_space_group_name_H-M 'P 4/m b m'
_symmetry_Int_Tables_number 127
_symmetry_space_group_name_Hall '-P 4 2ab'
_cell_length_a 6.780
_cell_length_b 6.780
_cell_length_c 6.027
_cell_angle_alpha 90.00
_cell_angle_beta 90.00
_cell_angle_gamma 90.00
loop_
_atom_site_label
_atom_site_fract_x
_atom_site_fract_y
_atom_site_fract_z
La1 0.178 0.322 0.000
Pb1 0.163 0.663 0.500
O1 0.000 0.000 0.000
```

Summary:
ΔE_f (raw): -1.19 eV/atom
Energy above the lowest structure with this stoichiometry: 0.000 eV per atom
Density: 8.49 g cm⁻³